# 1
Here is a geometry-optimized Hg2P2Pb structure from Alexandria. Energies are from PBE.

abc: 4.486 4.486 6.682
angles: 70.38 70.38 90.00
Sites, in units of the cell vectors:
Pb1 0.000 0.000 0.000
Hg1 0.618 0.618 0.765
Hg2 0.382 0.382 0.235
P1 0.250 0.750 0.500
P2 0.750 0.250 0.500

Computed properties:
Density in Mg/m³: 9.41
Total magnetic moment in μB/cell: 0.00
E_form in eV per atom: 0.46
ΔE to the lowest computed polymorph in eV/atom: 0.247
Space group: I4/mmm
V in Å³ per atom: 23.7

# 2
Here is a geometry-optimized TcPd2Pt structure from Alexandria. Energies are from PBE.

abc: 7.086 7.086 5.679
angles: 51.40 51.40 90.00
Each line ends with the local moment (μB).
Sites, in units of the cell vectors:
Pd1 0.611 0.125 0.250  0.10
Pd2 0.375 0.389 0.750  0.11
Pd3 0.875 0.861 0.750  0.10
Pd4 0.139 0.625 0.250  0.10
Tc1 0.250 0.750 0.500  1.17
Tc2 0.500 0.500 0.000  1.17
Pt1 0.750 0.250 0.500  0.05
Pt2 0.000 0.000 0.000  0.04

Computed properties:
Density in Mg/m³: 12.52
Total magnetic moment in μB/cell: 3.03
E_form in eV per atom: 0.55
ΔE to the lowest computed polymorph in eV/atom: 0.654
Space group: I-42d
V in Å³ per atom: 16.8

# 3
Here is a geometry-optimized CsAlCdF6 structure from Alexandria. Energies are from PBE.

abc: 7.778 7.351 7.485
angles: 119.41 121.30 90.00
Sites, in units of the cell vectors:
Al1 0.500 0.500 0.000
Al2 0.500 0.000 0.000
F1 0.543 0.367 0.754
F2 0.212 0.367 0.754
F3 0.512 0.262 0.025
F4 0.457 0.633 0.246
F5 0.851 0.101 0.703
F6 0.149 0.899 0.297
F7 0.788 0.112 0.246
F8 0.488 0.738 0.975
F9 0.212 0.888 0.754
F10 0.457 0.112 0.246
F11 0.543 0.888 0.754
F12 0.788 0.633 0.246
Cd1 0.000 0.000 0.500
Cd2 0.500 0.000 0.500
Cs1 0.143 0.393 0.286
Cs2 0.857 0.607 0.714

Computed properties:
Density in Mg/m³: 4.29
Total magnetic moment in μB/cell: 0.00
Space group: Imma
ΔE_f (raw) in meV per atom: -3004
V in Å³ per atom: 16.6

# 4
Here is a geometry-optimized Sc4FeNi structure from Alexandria. Energies are from PBE.

abc: 5.528 5.528 5.528
angles: 60.00 60.00 60.00
Each line ends with the local moment (μB).
Sites, in units of the cell vectors:
Sc1 0.375 0.875 0.375  -0.16
Sc2 0.375 0.375 0.375  -0.16
Sc3 0.375 0.375 0.875  -0.16
Sc4 0.875 0.375 0.375  -0.16
Ni1 0.000 0.000 0.000  0.01
Fe1 0.750 0.750 0.750  2.85

Computed properties:
Density in Mg/m³: 4.09
Total magnetic moment in μB/cell: 1.87
E_form in eV per atom: 0.68
ΔE to the lowest computed polymorph in eV/atom: 0.892
Space group: F-43m
V in Å³ per atom: 19.9

# 5
Here is a geometry-optimized TlGa structure from Alexandria. Energies are from PBE.

abc: 5.971 5.971 5.934
angles: 90.00 90.00 90.00
Sites, in units of the cell vectors:
Tl1 0.305 0.695 0.500
Tl2 0.695 0.305 0.500
Tl3 0.805 0.805 0.000
Tl4 0.195 0.195 0.000
Ga1 0.816 0.816 0.500
Ga2 0.316 0.684 0.000
Ga3 0.184 0.184 0.500
Ga4 0.684 0.316 0.000

Computed properties:
Density in Mg/m³: 8.61
Total magnetic moment in μB/cell: 0.00
E_form in eV per atom: 0.17
Space group: P4_2/mnm
V in Å³ per atom: 26.4

# 6
Here is a geometry-optimized CoSe2Cl structure from Alexandria. Energies are from PBE.

abc: 5.382 5.382 6.751
angles: 68.85 68.85 34.38
Sites, in units of the cell vectors:
Cl1 0.380 0.380 0.592
Se1 0.079 0.079 0.967
Se2 0.271 0.271 0.100
Co1 0.769 0.769 0.842

Computed properties:
Density in Mg/m³: 4.10
Total magnetic moment in μB/cell: 0.00
ΔE to the lowest computed polymorph in eV/atom: 0.121
Space group: Cm
ΔE_f (raw) in meV per atom: -130
V in Å³ per atom: 25.6